Computed, not measured: a relaxed Ba2MgCd crystal at the GGA-PBE level of DFT.

```
Ba2MgCd
1.0
-5.327 -0.059 -2.990
2.062 -0.873 -3.656
-0.558 -5.980 1.112
Mg Ba Cd
1 2 1
direct
0.500 0.625 0.869
0.000 0.125 0.878
0.500 0.125 0.372
0.000 0.625 0.381
```

Crystal system   orthorhombic

Computed, not measured: a relaxed BaLi2VBi crystal at the GGA-PBE level of DFT.

```
BaLi2VBi
1.0
-1.233 -2.877 4.200
0.958 -5.087 -3.203
5.024 0.012 1.484
V Li Bi Ba
1 2 1 1
direct
0.000 0.000 0.000
0.000 0.000 0.500
0.500 0.000 0.000
0.500 0.500 0.500
0.000 0.500 0.000
```

Crystal system   tetragonal

Computed, not measured: a relaxed TcOsO2 crystal at the GGA-PBE level of DFT.

```
TcOsO2
1.0
0.000 2.779 2.779
2.779 0.000 2.779
2.779 2.779 0.000
Os Tc O
1 1 2
direct
0.500 0.500 0.500
0.000 0.000 0.000
0.250 0.250 0.250
0.750 0.750 0.750
```

Formation energy (no corrections)   669 meV/atom
Distance to the lowest polymorph of the same formula   1298 meV/atom
Crystal system   cubic

Computed, not measured: a relaxed Cs2KBrF2 crystal at the GGA-PBE level of DFT.

```
Cs2KBrF2
1.0
4.998 0.000 0.000
0.000 4.998 0.000
0.000 0.000 7.734
Cs K Br F
2 1 1 2
direct
0.500 0.500 0.757
0.500 0.500 0.243
0.000 0.000 0.000
0.000 0.000 0.500
0.500 0.000 0.000
0.000 0.500 0.000
```

Formation energy (no corrections)   -2340 meV/atom
Crystal system   tetragonal

Computed, not measured: a relaxed Mg2Sc3Pd crystal at the GGA-PBE level of DFT.

```
Mg2Sc3Pd
1.0
4.829 0.000 0.021
2.414 7.316 0.011
-0.032 0.000 7.259
Mg Sc Pd
4 6 2
direct
0.000 0.000 0.000
0.000 0.000 0.500
0.333 0.334 0.500
0.667 0.666 0.500
0.825 0.350 0.782
0.500 0.000 0.236
0.175 0.650 0.218
0.825 0.350 0.218
0.175 0.650 0.782
0.500 0.000 0.764
0.351 0.298 0.000
0.649 0.702 0.000
```

Crystal system   orthorhombic

Computed, not measured: a relaxed ThGa4Ge crystal at the GGA-PBE level of DFT.

```
ThGa4Ge
1.0
5.561 0.000 0.000
2.781 4.816 0.000
2.781 1.605 4.541
Ge Ga Th
1 4 1
direct
0.250 0.250 0.250
0.624 0.624 0.127
0.624 0.127 0.624
0.624 0.624 0.624
0.127 0.624 0.624
0.000 0.000 0.000
```

Crystal system   cubic

Computed, not measured: a relaxed CaBe6 crystal at the GGA-PBE level of DFT.

```
CaBe6
1.0
4.487 0.000 0.000
0.000 7.381 0.000
0.000 0.000 9.394
Ca Be
4 24
direct
0.750 0.234 0.942
0.250 0.766 0.058
0.750 0.734 0.558
0.250 0.266 0.442
0.750 0.581 0.016
0.250 0.419 0.984
0.750 0.081 0.484
0.250 0.919 0.516
0.001 0.438 0.186
0.501 0.562 0.814
0.499 0.938 0.314
0.999 0.062 0.686
0.999 0.562 0.814
0.499 0.438 0.186
0.501 0.062 0.686
0.001 0.938 0.314
0.250 0.145 0.143
0.750 0.855 0.857
0.250 0.645 0.357
0.750 0.355 0.643
0.250 0.813 0.745
0.750 0.187 0.255
0.250 0.313 0.755
0.750 0.687 0.245
0.250 0.557 0.614
0.750 0.443 0.386
0.250 0.057 0.886
0.750 0.943 0.114
```

Distance to the lowest polymorph of the same formula   0 meV/atom
Crystal system   orthorhombic

Computed, not measured: a relaxed Ho2ErTl crystal at the GGA-PBE level of DFT.

```
Ho2ErTl
1.0
3.536 0.000 0.000
1.768 3.063 0.000
1.768 1.021 10.992
Tl Ho Er
1 2 1
direct
0.000 0.000 0.000
0.253 0.253 0.241
0.747 0.747 0.759
0.500 0.500 0.500
```

Distance to the lowest polymorph of the same formula   64 meV/atom
Crystal system   trigonal

The following electronic total energy values (in eV per cell) correspond, in order, to the records above: -7.091; -15.774; -28.837; -22.261; -58.606; -25.057; -94.600; -16.511.